Record 1
This record from Alexandria via LeMat-Bulk describes a geometry-optimized ZrZn2 structure. The functional is PBE.

The structure in POSCAR format:
```
ZrZn2
1.0
4.531 0.000 0.000
0.000 4.531 0.000
0.000 0.000 3.325
Zr Zn
1 2
Direct
0.000 0.000 0.000
0.000 0.500 0.500
0.500 0.000 0.500
```

Properties
- Total DFT energy (no corrections): -3.473 eV/atom
- ΔH_f (0 K): 226 meV/atom
- Symmetry: P4/mmm, No. 123
- Calculated volume: 68.27 Å³/cell
- Total magnetic moment: 0.00 μB/cell
- Fermi-level density of states: 2.776 states/eV per cell

---

Record 2
This record from Alexandria via LeMat-Bulk describes a geometry-optimized MgAg2Cl structure. The functional is PBE.

The structure in POSCAR format:
```
MgAg2Cl
1.0
0.000 3.444 3.444
3.444 0.000 3.444
3.444 3.444 0.000
Mg Ag Cl
1 2 1
Direct
0.000 0.000 0.000
0.500 0.500 0.500
0.750 0.750 0.750
0.250 0.250 0.250
```

Properties
- Total DFT energy (no corrections): -2.320 eV/atom
- Symmetry: F-43m, No. 216
- ΔE to the lowest computed polymorph: 373 meV per atom
- Calculated volume: 81.70 Å³/cell
- Total magnetic moment: 0.00 μB/cell
- Fermi-level density of states: 1.147 states/eV per cell

---

Record 3
This record from Alexandria via LeMat-Bulk describes a geometry-optimized Ce2MgAl2 structure. The functional is PBE.

The structure in POSCAR format:
```
Ce2MgAl2
1.0
2.326 -7.735 0.000
2.326 7.735 0.000
0.000 0.000 3.330
Ce Mg Al
2 1 2
Direct
0.122 0.878 0.000
0.878 0.122 0.000
0.500 0.500 0.500
0.296 0.704 0.500
0.704 0.296 0.500
```

Properties
- Total DFT energy (no corrections): -4.415 eV/atom
- ΔH_f (0 K): -225 meV/atom
- Symmetry: Cmmm, No. 65
- Calculated volume: 119.85 Å³/cell
- Total magnetic moment: 1.20 μB/cell
- Fermi-level density of states: 10.337 states/eV per cell

---

Record 4
This record from Alexandria via LeMat-Bulk describes a geometry-optimized PaFeP2Rh structure. The functional is PBE.

The structure in POSCAR format:
```
PaFeP2Rh
1.0
-1.952 1.952 4.861
1.952 -1.952 4.861
1.952 1.952 -4.861
Pa Fe P Rh
1 1 2 1
Direct
0.000 0.000 0.000
0.250 0.750 0.500
0.384 0.384 0.000
0.616 0.616 0.000
0.750 0.250 0.500
```

Properties
- Total DFT energy (no corrections): -8.143 eV/atom
- ΔH_f (0 K): -917 meV/atom
- Symmetry: I-4m2, No. 119
- Calculated volume: 74.10 Å³/cell
- Total magnetic moment: 0.00 μB/cell
- Fermi-level density of states: 3.124 states/eV per cell

---

Record 5
This record from Alexandria via LeMat-Bulk describes a geometry-optimized GdDyBeZn structure. The functional is PBE.

The structure in POSCAR format:
```
GdDyBeZn
1.0
0.000 3.512 3.512
3.512 0.000 3.512
3.512 3.512 0.000
Gd Dy Be Zn
1 1 1 1
Direct
0.000 0.000 0.000
0.500 0.500 0.500
0.750 0.750 0.750
0.250 0.250 0.250
```

Properties
- Total DFT energy (no corrections): -6.022 eV/atom
- ΔH_f (0 K): -102 meV/atom
- Symmetry: F-43m, No. 216
- Calculated volume: 86.60 Å³/cell
- Total magnetic moment: 7.78 μB/cell
- Fermi-level density of states: 3.159 states/eV per cell

---

Record 6
This record from Alexandria via LeMat-Bulk describes a geometry-optimized Na3Mg5I12 structure. The functional is PBE.

The structure in POSCAR format:
```
Na3Mg5I12
1.0
-9.277 9.277 9.277
9.277 -9.277 9.277
9.277 9.277 -9.277
Na Mg I
12 20 48
Direct
0.125 0.250 0.375
0.125 0.375 0.750
0.250 0.375 0.125
0.250 0.875 0.625
0.375 0.125 0.250
0.375 0.750 0.125
0.625 0.250 0.875
0.625 0.875 0.750
0.750 0.125 0.375
0.750 0.625 0.875
0.875 0.625 0.250
0.875 0.750 0.625
0.000 0.000 0.000
0.000 0.000 0.500
0.000 0.500 0.000
0.000 0.500 0.500
0.125 0.750 0.875
0.125 0.875 0.250
0.250 0.125 0.875
0.250 0.625 0.375
0.375 0.250 0.625
0.375 0.625 0.750
0.500 0.000 0.000
0.500 0.000 0.500
0.500 0.500 0.000
0.500 0.500 0.500
0.625 0.375 0.250
0.625 0.750 0.375
0.750 0.375 0.625
0.750 0.875 0.125
0.875 0.125 0.750
0.875 0.250 0.125
0.028 0.208 0.121
0.028 0.321 0.907
0.087 0.708 0.679
0.087 0.879 0.407
0.093 0.621 0.413
0.093 0.972 0.679
0.121 0.028 0.208
0.121 0.593 0.913
0.179 0.208 0.587
0.179 0.472 0.593
0.208 0.121 0.028
0.208 0.587 0.179
0.292 0.321 0.913
0.292 0.472 0.379
0.321 0.907 0.028
0.321 0.913 0.292
0.379 0.292 0.472
0.379 0.587 0.907
0.407 0.087 0.879
0.407 0.821 0.528
0.413 0.093 0.621
0.413 0.821 0.792
0.472 0.379 0.292
0.472 0.593 0.179
0.528 0.407 0.821
0.528 0.621 0.708
0.587 0.179 0.208
0.587 0.907 0.379
0.593 0.179 0.472
0.593 0.913 0.121
0.621 0.413 0.093
0.621 0.708 0.528
0.679 0.087 0.708
0.679 0.093 0.972
0.708 0.528 0.621
0.708 0.679 0.087
0.792 0.413 0.821
0.792 0.879 0.972
0.821 0.528 0.407
0.821 0.792 0.413
0.879 0.407 0.087
0.879 0.972 0.792
0.907 0.028 0.321
0.907 0.379 0.587
0.913 0.121 0.593
0.913 0.292 0.321
0.972 0.679 0.093
0.972 0.792 0.879
```

Properties
- Total DFT energy (no corrections): -2.486 eV/atom
- Symmetry: Ia-3d, No. 230
- Calculated volume: 3193.15 Å³/cell
- Total magnetic moment: 0.00 μB/cell
- Fermi-level density of states: 18.727 states/eV per cell

---

Record 7
This record from Alexandria via LeMat-Bulk describes a geometry-optimized NdCuAg structure. The functional is PBE.

The structure in POSCAR format:
```
NdCuAg
1.0
5.117 -2.101 0.000
5.117 2.101 0.000
-4.141 0.000 6.015
Nd Cu Ag
2 2 2
Direct
0.057 0.057 0.299
0.943 0.943 0.701
0.361 0.361 0.331
0.639 0.639 0.669
0.321 0.321 0.912
0.679 0.679 0.088
```

Properties
- Total DFT energy (no corrections): -4.138 eV/atom
- ΔH_f (0 K): -233 meV/atom
- Symmetry: C2/m, No. 12
- ΔE to the lowest computed polymorph: 0 meV per atom
- Calculated volume: 129.32 Å³/cell
- Total magnetic moment: 0.00 μB/cell
- Fermi-level density of states: 2.770 states/eV per cell

---

Record 8
This record from Alexandria via LeMat-Bulk describes a geometry-optimized La2Al7Rh structure. The functional is PBE.

The structure in POSCAR format:
```
La2Al7Rh
1.0
4.297 0.000 0.000
0.000 4.297 0.000
0.000 0.000 11.127
La Al Rh
2 7 1
Direct
0.000 0.500 0.249
0.500 0.000 0.751
0.000 0.000 0.000
0.000 0.000 0.500
0.000 0.500 0.643
0.000 0.500 0.877
0.500 0.000 0.123
0.500 0.000 0.357
0.500 0.500 0.500
0.500 0.500 0.000
```

Properties
- Total DFT energy (no corrections): -4.859 eV/atom
- ΔH_f (0 K): -519 meV/atom
- Symmetry: P-4m2, No. 115
- Calculated volume: 205.43 Å³/cell
- Total magnetic moment: 0.00 μB/cell
- Fermi-level density of states: 3.387 states/eV per cell

---

Record 9
This record from Alexandria via LeMat-Bulk describes a geometry-optimized CrHg4W structure. The functional is PBE.

The structure in POSCAR format:
```
CrHg4W
1.0
0.000 3.993 3.993
3.993 0.000 3.993
3.993 3.993 0.000
Cr Hg W
1 4 1
Direct
0.000 0.000 0.000
0.125 0.625 0.625
0.625 0.125 0.625
0.625 0.625 0.125
0.625 0.625 0.625
0.250 0.250 0.250
```

Properties
- Total DFT energy (no corrections): -2.917 eV/atom
- ΔH_f (0 K): 1047 meV/atom
- Symmetry: F-43m, No. 216
- Calculated volume: 127.28 Å³/cell
- Total magnetic moment: 0.31 μB/cell
- Fermi-level density of states: 2.012 states/eV per cell

---

Record 10
This record from Alexandria via LeMat-Bulk describes a geometry-optimized SrLa2Os structure. The functional is PBE.

The structure in POSCAR format:
```
SrLa2Os
1.0
0.000 3.809 3.809
3.809 0.000 3.809
3.809 3.809 0.000
Sr La Os
1 2 1
Direct
0.000 0.000 0.000
0.250 0.250 0.250
0.750 0.750 0.750
0.500 0.500 0.500
```

Properties
- Total DFT energy (no corrections): -5.326 eV/atom
- ΔH_f (0 K): 365 meV/atom
- Symmetry: Fm-3m, No. 225
- ΔE to the lowest computed polymorph: 426 meV per atom
- Calculated volume: 110.55 Å³/cell
- Total magnetic moment: 0.00 μB/cell
- Fermi-level density of states: 5.113 states/eV per cell

---

Record 11
This record from Alexandria via LeMat-Bulk describes a geometry-optimized Fe2AgW structure. The functional is PBE.

The structure in POSCAR format:
```
Fe2AgW
1.0
2.785 -3.681 0.000
2.785 3.681 0.000
0.000 0.000 2.747
Fe Ag W
2 1 1
Direct
0.000 0.500 0.000
0.500 0.000 0.000
0.000 0.000 0.500
0.500 0.500 0.500
```

Properties
- Total DFT energy (no corrections): -7.723 eV/atom
- ΔH_f (0 K): 459 meV/atom
- Symmetry: Cmmm, No. 65
- ΔE to the lowest computed polymorph: 159 meV per atom
- Calculated volume: 56.33 Å³/cell
- Total magnetic moment: 3.58 μB/cell
- Fermi-level density of states: 3.181 states/eV per cell

---

Record 12
This record from Alexandria via LeMat-Bulk describes a geometry-optimized ZrFeAs3 structure. The functional is PBE.

The structure in POSCAR format:
```
ZrFeAs3
1.0
5.147 0.000 0.000
0.000 5.147 0.000
0.000 0.000 5.147
Zr Fe As
1 1 3
Direct
0.000 0.000 0.000
0.500 0.500 0.500
0.000 0.000 0.500
0.000 0.500 0.000
0.500 0.000 0.000
```

Properties
- Total DFT energy (no corrections): -5.423 eV/atom
- ΔH_f (0 K): 769 meV/atom
- Symmetry: Pm-3m, No. 221
- ΔE to the lowest computed polymorph: 496 meV per atom
- Calculated volume: 136.36 Å³/cell
- Total magnetic moment: 3.44 μB/cell
- Fermi-level density of states: 13.488 states/eV per cell